# Ba4TlSn3, relaxed, DFT GGA-PBE
# Space-group type = Pmm2
# Crystal system = orthorhombic
# Density of states at the Fermi level = 4.85 states/eV/cell
# Total energy = -3.3807 eV/atom
# Energy relative to the elements = -0.6225 eV/atom
data_Ba4TlSn3
_cell_length_a 5.295
_cell_length_b 4.824
_cell_length_c 12.864
_cell_angle_alpha 90.00
_cell_angle_beta 90.00
_cell_angle_gamma 90.00
_symmetry_space_group_name_H-M 'P 1'
_symmetry_Int_Tables_number 1
loop_
_symmetry_equiv_pos_as_xyz
'x,y,z'
loop_
_atom_site_label
_atom_site_type_symbol
_atom_site_fract_x
_atom_site_fract_y
_atom_site_fract_z
Ba1 Ba 0.000 0.000 0.135
Tl1 Tl 0.500 0.500 0.077
Sn1 Sn 0.000 0.500 0.570
Ba2 Ba 0.500 0.000 0.636
Sn2 Sn 0.000 0.000 0.428
Ba3 Ba 0.000 0.500 0.861
Sn3 Sn 0.500 0.000 0.926
Ba4 Ba 0.500 0.500 0.367

---

# Rb2TlI4, relaxed, DFT GGA-PBE
# Space-group type = P2_1/m
# Crystal system = monoclinic
# Density of states at the Fermi level = 9.16 states/eV/cell
# Total energy = -2.4676 eV/atom
# Distance to the lowest polymorph of the same formula = 0.06 eV/f.u.
# Raw formation energy = -967.3 meV/atom
data_Rb2TlI4
_cell_length_a 8.765
_cell_length_b 8.488
_cell_length_c 10.231
_cell_angle_alpha 90.00
_cell_angle_beta 107.12
_cell_angle_gamma 90.00
_symmetry_space_group_name_H-M 'P 1'
_symmetry_Int_Tables_number 1
loop_
_symmetry_equiv_pos_as_xyz
'x,y,z'
loop_
_atom_site_label
_atom_site_type_symbol
_atom_site_fract_x
_atom_site_fract_y
_atom_site_fract_z
I1 I 0.946 0.250 0.110
Tl1 Tl 0.736 0.250 0.812
Rb1 Rb 0.737 0.750 0.552
Rb2 Rb 0.263 0.250 0.448
Tl2 Tl 0.264 0.750 0.188
I2 I 0.054 0.750 0.890
I3 I 0.928 0.250 0.606
Rb3 Rb 0.736 0.750 0.067
I4 I 0.495 0.522 0.749
I5 I 0.505 0.478 0.251
I6 I 0.495 0.978 0.749
Rb4 Rb 0.264 0.250 0.933
I7 I 0.072 0.750 0.394
I8 I 0.505 0.022 0.251